A plane-wave DFT calculation with PBE was carried out for LiNdSmS3 after structural relaxation.

Calculated volume: 21.75 Å³ per atom
Total moment: 0.0 μB per formula unit
Total DFT energy (no corrections): -5.830 eV/atom

a = 16.9273 Å, b = 3.8883 Å, c = 8.1757 Å
α = 90.00°, β = 104.01°, γ = 90.00°
Last column: nearest neighbours and their distance in Å.
Space group C2/m (No. 12)
Asymmetric unit:
1 Li 0.0010 0.0000 0.3069 [4 per cell]  4 S 2.51-2.68
2 Nd 0.1380 0.5000 0.0721 [4 per cell]  7 S 2.88-3.03
3 Sm 0.1666 0.5000 0.5872 [4 per cell]  6 S 2.74-2.81
4 S 0.0000 0.0000 0.0000 [2 per cell]  2 Li 2.51
5 S 0.0000 0.5000 0.5000 [2 per cell]  4 Li 2.51, 2 Sm 2.74
6 S 0.1623 0.0000 0.3392 [4 per cell]  1 Li 2.68, 3 Sm 2.80-2.81, 2 Nd 2.88
7 S 0.1777 0.0000 0.8403 [4 per cell]  2 Sm 2.81, 3 Nd 2.90-3.03, 1 Li 2.97


A plane-wave DFT calculation with PBE was carried out for SrLiNdS3 after structural relaxation.

Calculated volume: 23.60 Å³ per atom
Total moment: 0.0 μB per formula unit
Total DFT energy (no corrections): -5.358 eV/atom

a = 10.7465 Å, b = 4.0815 Å, c = 12.9119 Å
α = 90.00°, β = 90.00°, γ = 90.00°
Last column: nearest neighbours and their distance in Å.
Space group Pnma (No. 62)
Asymmetric unit:
1 Sr 0.2044 0.2500 0.0021 [4 per cell]  7 S 3.06-3.15
2 Li 0.2292 0.7500 0.7731 [4 per cell]  4 S 2.37-2.42
3 Nd 0.0192 0.7500 0.2727 [4 per cell]  6 S 2.79-2.90
4 S 0.0444 0.7500 0.8754 [4 per cell]  1 Li 2.39
5 S 0.1104 0.2500 0.3987 [4 per cell]  1 Li 2.37
6 S 0.2397 0.2500 0.6721 [4 per cell]  2 Li 2.42


A plane-wave DFT calculation with PBE was carried out for SrLiNdS3 after structural relaxation.

Calculated volume: 23.65 Å³ per atom
Total moment: 0.0 μB per formula unit
Total DFT energy (no corrections): -5.347 eV/atom

a = 4.0736 Å, b = 13.0650 Å, c = 10.6643 Å
α = 90.00°, β = 90.00°, γ = 90.00°
Last column: nearest neighbours and their distance in Å.
Space group Cmcm (No. 63)
Asymmetric unit:
1 Sr 0.0000 0.2503 0.2500 [4 per cell]  6 S 3.03-3.13
2 Li 0.0000 0.0236 0.7500 [4 per cell]  4 S 2.38-2.44
3 Nd 0.0000 0.5000 0.0000 [4 per cell]  6 S 2.83-2.86
4 S 0.0000 0.1369 0.5758 [8 per cell]  1 Li 2.38
5 S 0.0000 0.4209 0.7500 [4 per cell]  2 Li 2.44


A plane-wave DFT calculation with PBE was carried out for SrLiNdS3 after structural relaxation.

Calculated volume: 23.79 Å³ per atom
Total moment: 0.0 μB per formula unit
Total DFT energy (no corrections): -5.363 eV/atom

a = 17.3273 Å, b = 4.0541 Å, c = 8.3977 Å
α = 90.00°, β = 104.52°, γ = 90.00°
Last column: nearest neighbours and their distance in Å.
Space group C2/m (No. 12)
Asymmetric unit:
1 Sr 0.1313 0.0000 0.0639 [4 per cell]  7 S 2.99-3.24
2 Li 0.0013 0.5000 0.2998 [4 per cell]  4 S 2.51-2.75
3 Nd 0.1662 0.0000 0.5934 [4 per cell]  6 S 2.79-2.85
4 S 0.0000 0.0000 0.5000 [2 per cell]  4 Li 2.64, 2 Nd 2.79
5 S 0.0000 0.5000 0.0000 [2 per cell]  2 Li 2.51
6 S 0.1645 0.5000 0.3535 [4 per cell]  1 Li 2.75, 3 Nd 2.85
7 S 0.1758 0.5000 0.8252 [4 per cell]  2 Nd 2.79, 1 Li 2.98, 2 Sr 3.08


A plane-wave DFT calculation with PBE was carried out for LiNdSb2 after structural relaxation.

Calculated volume: 25.61 Å³ per atom
Total moment: 0.0 μB per formula unit
Total DFT energy (no corrections): -4.582 eV/atom

a = 4.3325 Å, b = 4.3325 Å, c = 10.9172 Å
α = 90.00°, β = 90.00°, γ = 90.00°
Last column: nearest neighbours and their distance in Å.
Space group P4/nmm (No. 129, origin choice 2)
Asymmetric unit:
1 Li 0.2500 0.7500 0.0000 [2 per cell]  4 Sb 2.80, 4 Li 3.06
2 Nd 0.2500 0.2500 0.2651 [2 per cell]  8 Sb 3.26-3.36, 4 Li 3.61
3 Sb 0.2500 0.2500 0.8370 [2 per cell]  4 Li 2.80
4 Sb 0.2500 0.7500 0.5000 [2 per cell]  4 Sb 3.06, 4 Nd 3.36


A plane-wave DFT calculation with PBE was carried out for Li3NdSb2 after structural relaxation.

Calculated volume: 21.94 Å³ per atom
Total moment: 0.0 μB per formula unit
Total DFT energy (no corrections): -3.968 eV/atom

a = 4.5757 Å, b = 4.5757 Å, c = 7.2596 Å
α = 90.00°, β = 90.00°, γ = 120.00°
Last column: nearest neighbours and their distance in Å.
Space group P-3m1 (No. 164)
Asymmetric unit:
1 Li 0.0000 0.0000 0.0000 [1 per cell]  6 Li 2.85, 6 Sb 3.18
2 Li 0.3333 0.6667 0.1476 [2 per cell]  4 Sb 2.73-2.84, 3 Li 2.85
3 Nd 0.0000 0.0000 0.5000 [1 per cell]  6 Sb 3.23
4 Sb 0.3333 0.6667 0.7560 [2 per cell]  4 Li 2.73-2.84


A plane-wave DFT calculation with PBE was carried out for LiNdSc after structural relaxation.

Calculated volume: 27.78 Å³ per atom
Total moment: 0.1 μB per formula unit
Total DFT energy (no corrections): -3.807 eV/atom

a = 6.9336 Å, b = 6.9336 Å, c = 6.9336 Å
α = 90.00°, β = 90.00°, γ = 90.00°
Last column: nearest neighbours and their distance in Å.
Space group F-43m (No. 216)
Asymmetric unit:
1 Li 0.0000 0.0000 0.0000 [4 per cell]  4 Sc 3.00, 4 Nd 3.00
2 Nd 0.2500 0.2500 0.7500 [4 per cell]  4 Li 3.00
3 Sc 0.2500 0.2500 0.2500 [4 per cell]  4 Li 3.00


A plane-wave DFT calculation with PBE was carried out for LiNd5Se8 after structural relaxation.

Calculated volume: 25.28 Å³ per atom
Total moment: 0.0 μB per formula unit
Total DFT energy (no corrections): -5.658 eV/atom

a = 8.8749 Å, b = 8.8749 Å, c = 8.9866 Å
α = 90.00°, β = 90.00°, γ = 90.00°
Last column: nearest neighbours and their distance in Å.
Space group I-4 (No. 82)
Asymmetric unit:
1 Li 0.0000 0.0000 0.0000 [2 per cell]  8 Se 2.93-3.28
2 Nd 0.0000 0.5000 0.7500 [2 per cell]  8 Se 2.98-3.18
3 Nd 0.1277 0.7468 0.3717 [8 per cell]  8 Se 2.96-3.24
4 Se 0.0723 0.6816 0.0464 [8 per cell]  1 Li 2.93, 5 Nd 2.96-3.24
5 Se 0.0753 0.8210 0.6899 [8 per cell]  5 Nd 2.97-3.20, 1 Li 3.28